Entry 1:
## Mn2PW (GGA-PBE)

Data for an optimized crystal structure of Mn2PW.

It has space group Amm2 (No. 38), with a = 3.311 Å, b = 3.013 Å, c = 10.550 Å, α = 90.00°, β = 90.00° and γ = 90.00°. Symmetry generates all atoms from Mn at (0.000, 0.000, 0.000), Mn at (0.500, 0.000, 0.389), P at (0.500, 0.000, 0.137) and W at (0.000, 0.000, 0.736).

The formation enthalpy at 0 K comes out at -0.07 eV/atom. Its magnetization is 3.06 μB per formula unit. The calculation puts the total energy at -9.245 eV per atom. As for the density of states at the Fermi level: 0.638 states/eV per atom.

***

Entry 2:
## MnPW2 (GGA-PBE)

Data for an optimized crystal structure of MnPW2.

It has space group I-42d (No. 122), with a = 3.712 Å, b = 3.712 Å, c = 18.300 Å, α = 90.00°, β = 90.00° and γ = 90.00°. Symmetry generates all atoms from Mn at (0.000, 0.000, 0.000), P at (0.000, 0.000, 0.500) and W at (0.244, 0.250, 0.625).

The formation enthalpy at 0 K comes out at 0.55 eV/atom. Its magnetization is 3.21 μB per formula unit. The calculation puts the total energy at -9.575 eV per atom. As for the density of states at the Fermi level: 1.053 states/eV per atom.

***

Entry 3:
## MnPW2 (GGA-PBE)

Data for an optimized crystal structure of MnPW2.

It has space group P2/m (No. 10), with a = 2.953 Å, b = 3.365 Å, c = 5.816 Å, α = 90.00°, β = 99.98° and γ = 90.00°. Symmetry generates all atoms from Mn at (0.000, 0.000, 0.000), P at (0.000, 0.000, 0.500) and W at (0.417, 0.500, 0.741).

The formation enthalpy at 0 K comes out at 0.15 eV/atom. Its magnetization is 1.76 μB per formula unit. The calculation puts the total energy at -9.975 eV per atom. As for the density of states at the Fermi level: 0.769 states/eV per atom.

***

Entry 4:
## Mn2PW (GGA-PBE)

Data for an optimized crystal structure of Mn2PW.

It has space group F-43m (No. 216), with a = 5.829 Å, b = 5.829 Å, c = 5.829 Å, α = 90.00°, β = 90.00° and γ = 90.00°. Symmetry generates all atoms from Mn at (0.000, 0.000, 0.000), Mn at (0.250, 0.250, 0.250), P at (0.000, 0.000, 0.500) and W at (0.250, 0.250, 0.750).

The formation enthalpy at 0 K comes out at 0.00 eV/atom. Its magnetization is 2.41 μB per formula unit. The calculation puts the total energy at -9.177 eV per atom. As for the density of states at the Fermi level: 0.594 states/eV per atom.

***

Entry 5:
## MnPW2 (GGA-PBE)

Data for an optimized crystal structure of MnPW2.

It has space group R3m (No. 160, hexagonal axes), with a = 2.8110 Å, b = 2.8110 Å, c = 24.6907 Å, α = 90.00°, β = 90.00° and γ = 120.00°. Symmetry generates all atoms from Mn at (0.0000, 0.0000, 0.0000), P at (0.0000, 0.0000, 0.7334), W at (0.0000, 0.0000, 0.2482) and W at (0.0000, 0.0000, 0.4841).

The formation enthalpy at 0 K comes out at 0.21 eV/atom. Its magnetization is 0.79 μB per formula unit. The calculation puts the total energy at -9.910 eV per atom. As for the density of states at the Fermi level: 1.038 states/eV per atom.

***

Entry 6:
## MnPW (GGA-PBE)

Data for an optimized crystal structure of MnPW.

It has space group P2_1/m (No. 11), with a = 5.937 Å, b = 3.726 Å, c = 10.147 Å, α = 90.00°, β = 90.42° and γ = 90.00°. Symmetry generates all atoms from Mn at (0.008, 0.250, 0.085), Mn at (0.145, 0.250, 0.460), Mn at (0.362, 0.750, 0.794), P at (0.231, 0.750, 0.582), P at (0.242, 0.250, 0.912), P at (0.269, 0.250, 0.250), W at (0.020, 0.250, 0.711), W at (0.347, 0.750, 0.081) and W at (0.473, 0.750, 0.380).

The formation enthalpy at 0 K comes out at -0.38 eV/atom. Its magnetization is 0.43 μB per formula unit. The calculation puts the total energy at -9.556 eV per atom. As for the density of states at the Fermi level: 0.951 states/eV per atom.

***

Entry 7:
## Mn2PW (GGA-PBE)

Data for an optimized crystal structure of Mn2PW.

It has space group R-3m (No. 166, hexagonal axes), with a = 2.7360 Å, b = 2.7360 Å, c = 23.3130 Å, α = 90.00°, β = 90.00° and γ = 120.00°. Symmetry generates all atoms from Mn at (0.0000, 0.0000, 0.2407), P at (0.0000, 0.0000, 0.5000) and W at (0.0000, 0.0000, 0.0000).

The formation enthalpy at 0 K comes out at 0.08 eV/atom. Its magnetization is 0.87 μB per formula unit. The calculation puts the total energy at -9.091 eV per atom. As for the density of states at the Fermi level: 1.220 states/eV per atom.

***

Entry 8:
## MnPW (GGA-PBE)

Data for an optimized crystal structure of MnPW.

It has space group P-6m2 (No. 187), with a = 3.9436 Å, b = 3.9436 Å, c = 2.8176 Å, α = 90.00°, β = 90.00° and γ = 120.00°. Symmetry generates all atoms from Mn at (0.0000, 0.0000, 0.0000), P at (0.6667, 0.3333, 0.0000) and W at (0.3333, 0.6667, 0.5000).

The formation enthalpy at 0 K comes out at -0.20 eV/atom. Its magnetization is 0.00 μB per formula unit. The calculation puts the total energy at -9.375 eV per atom. As for the density of states at the Fermi level: 0.304 states/eV per atom.

***

Entry 9:
## MnPW (GGA-PBE)

Data for an optimized crystal structure of MnPW.

It has space group I4mm (No. 107), with a = 2.814 Å, b = 2.814 Å, c = 9.485 Å, α = 90.00°, β = 90.00° and γ = 90.00°. Symmetry generates all atoms from Mn at (0.000, 0.000, 0.000), P at (0.000, 0.000, 0.380) and W at (0.000, 0.000, 0.695).

The formation enthalpy at 0 K comes out at -0.17 eV/atom. Its magnetization is 0.00 μB per formula unit. The calculation puts the total energy at -9.347 eV per atom. As for the density of states at the Fermi level: 0.357 states/eV per atom.

***

Entry 10:
## MnPW2 (GGA-PBE)

Data for an optimized crystal structure of MnPW2.

It has space group Imm2 (No. 44), with a = 2.909 Å, b = 4.246 Å, c = 8.756 Å, α = 90.00°, β = 90.00° and γ = 90.00°. Symmetry generates all atoms from Mn at (0.000, 0.000, 0.000), P at (0.000, 0.500, 0.298), W at (0.000, 0.000, 0.554) and W at (0.000, 0.500, 0.766).

The formation enthalpy at 0 K comes out at -0.01 eV/atom. Its magnetization is 0.06 μB per formula unit. The calculation puts the total energy at -10.131 eV per atom. As for the density of states at the Fermi level: 0.873 states/eV per atom.

***

Entry 11:
## Mn2PW (GGA-PBE)

Data for an optimized crystal structure of Mn2PW.

It has space group P4/mmm (No. 123), with a = 2.760 Å, b = 2.760 Å, c = 6.312 Å, α = 90.00°, β = 90.00° and γ = 90.00°. Symmetry generates all atoms from Mn at (0.000, 0.000, 0.205), P at (0.500, 0.500, 0.000) and W at (0.500, 0.500, 0.500).

The formation enthalpy at 0 K comes out at -0.12 eV/atom. Its magnetization is 0.00 μB per formula unit. The calculation puts the total energy at -9.300 eV per atom. As for the density of states at the Fermi level: 1.154 states/eV per atom.

***

Entry 12:
## Mn2P2W (GGA-PBE)

Data for an optimized crystal structure of Mn2P2W.

It has space group P4/mbm (No. 127), with a = 6.623 Å, b = 6.623 Å, c = 2.742 Å, α = 90.00°, β = 90.00° and γ = 90.00°. Symmetry generates all atoms from Mn at (0.142, 0.358, 0.000), P at (0.153, 0.653, 0.500) and W at (0.000, 0.000, 0.500).

The formation enthalpy at 0 K comes out at -0.22 eV/atom. Its magnetization is 2.07 μB per formula unit. The calculation puts the total energy at -8.646 eV per atom. As for the density of states at the Fermi level: 1.048 states/eV per atom.

***

Entry 13:
## MnPW2 (GGA-PBE)

Data for an optimized crystal structure of MnPW2.

It has space group I4/mmm (No. 139), with a = 3.746 Å, b = 3.746 Å, c = 7.893 Å, α = 90.00°, β = 90.00° and γ = 90.00°. Symmetry generates all atoms from Mn at (0.000, 0.000, 0.000), P at (0.000, 0.000, 0.500) and W at (0.000, 0.500, 0.250).

The formation enthalpy at 0 K comes out at 0.21 eV/atom. Its magnetization is 1.27 μB per formula unit. The calculation puts the total energy at -9.912 eV per atom. As for the density of states at the Fermi level: 0.585 states/eV per atom.

***

Entry 14:
## MnPW2 (GGA-PBE)

Data for an optimized crystal structure of MnPW2.

It has space group F-43m (No. 216), with a = 6.040 Å, b = 6.040 Å, c = 6.040 Å, α = 90.00°, β = 90.00° and γ = 90.00°. Symmetry generates all atoms from Mn at (0.000, 0.000, 0.000), P at (0.250, 0.250, 0.250), W at (0.000, 0.000, 0.500) and W at (0.250, 0.250, 0.750).

The formation enthalpy at 0 K comes out at 0.33 eV/atom. Its magnetization is 0.25 μB per formula unit. The calculation puts the total energy at -9.794 eV per atom. As for the density of states at the Fermi level: 0.952 states/eV per atom.